First-principles (GGA-PBE) data for Ac6ScCd5 after structural relaxation, as listed in Alexandria via LeMat-Bulk.

extended XYZ file:
```
12
Lattice="5.7397 0.0000 0.0000 0.0000 8.1883 0.0000 -2.8752 0.0000 8.6676" Properties=species:S:1:pos:R:3 pbc="T T T"
Ac 0.0000 1.9875 0.0000
Ac 0.0000 6.2008 0.0000
Ac 0.0040 2.0622 5.7615
Ac 0.0040 6.1261 5.7615
Ac 2.8605 2.0622 2.9061
Ac 2.8605 6.1261 2.9061
Sc 2.8698 4.0942 0.0000
Cd -0.0123 4.0942 2.7367
Cd -0.0157 0.0000 2.8885
Cd 2.8698 0.0000 0.0000
Cd 2.8801 0.0000 5.7791
Cd 2.8767 4.0942 5.9309
```

## Properties
DOS(E_F), states/eV/atom: 1.145
Size of the total moment, Bohr magnetons per cell: 0.00
ΔH_f (0 K), kJ/mol of formula units: -242
Crystal system: monoclinic
Symmetry: P2/m
E, eV for the cell shown: -38.07
Theoretical density, g/cm³: 8.03